Here is an optimized crystal structure of Pm6DyYSc2 from the Alexandria database. Energies are from GGA-PBE.

Output
**Energy**: -5.10 eV/atom
**Calculated formation energy**: 2.82 kcal/mol of atoms
**Total moment**: 0.000 μB/cell
**SG**: C2/c (15)
**DOS(E_F)**: 1.58 states/eV/atom

a b c (Å): 8.7867 8.7867 9.5186
angles (deg): 94.03 94.03 118.00
With the nearest neighbours (Å) after each atom.
Fractional positions:
Pm (0.0133, 0.5596, 0.1835)  3 Pm 3.26-3.55, 1 Dy 3.43, 2 Sc 3.43-3.59, 1 Y 3.58
Pm (0.1131, 0.7615, 0.5519)  7 Pm 3.39-3.79, 1 Sc 3.39, 2 Y 3.60-3.74
Pm (0.2385, 0.8869, 0.9481)  7 Pm 3.39-3.79, 1 Sc 3.39, 2 Y 3.60-3.74
Pm (0.2975, 0.5039, 0.3816)  3 Sc 3.22-3.38, 3 Pm 3.26-3.39, 2 Dy 3.36-3.50
Pm (0.4404, 0.9867, 0.3165)  3 Pm 3.26-3.55, 1 Dy 3.43, 2 Sc 3.43-3.59, 1 Y 3.58
Pm (0.4961, 0.7025, 0.1184)  3 Sc 3.22-3.38, 3 Pm 3.26-3.39, 2 Dy 3.36-3.50
Pm (0.5039, 0.2975, 0.8816)  3 Sc 3.22-3.38, 3 Pm 3.26-3.39, 2 Dy 3.36-3.50
Pm (0.5596, 0.0133, 0.6835)  3 Pm 3.26-3.55, 1 Dy 3.43, 2 Sc 3.43-3.59, 1 Y 3.58
Pm (0.7025, 0.4961, 0.6184)  3 Sc 3.22-3.38, 3 Pm 3.26-3.39, 2 Dy 3.36-3.50
Pm (0.7615, 0.1131, 0.0519)  7 Pm 3.39-3.79, 1 Sc 3.39, 2 Y 3.60-3.74
Pm (0.8869, 0.2385, 0.4481)  7 Pm 3.39-3.79, 1 Sc 3.39, 2 Y 3.60-3.74
Pm (0.9867, 0.4404, 0.8165)  3 Pm 3.26-3.55, 1 Dy 3.43, 2 Sc 3.43-3.59, 1 Y 3.58
Dy (0.4086, 0.5914, 0.7500)  6 Pm 3.36-3.50, 2 Sc 3.51
Dy (0.5914, 0.4086, 0.2500)  6 Pm 3.36-3.50, 2 Sc 3.51
Y (0.0278, 0.9722, 0.2500)  4 Sc 3.37-3.38, 6 Pm 3.58-3.74
Y (0.9722, 0.0278, 0.7500)  4 Sc 3.37-3.38, 6 Pm 3.58-3.74
Sc (0.1978, 0.2996, 0.0473)  6 Pm 3.22-3.59, 2 Y 3.37-3.38, 1 Dy 3.51
Sc (0.2996, 0.1978, 0.5473)  6 Pm 3.22-3.59, 2 Y 3.37-3.38, 1 Dy 3.51
Sc (0.7004, 0.8022, 0.4527)  6 Pm 3.22-3.59, 2 Y 3.37-3.38, 1 Dy 3.51
Sc (0.8022, 0.7004, 0.9527)  6 Pm 3.22-3.59, 2 Y 3.37-3.38, 1 Dy 3.51